(1)
Material: K4BaIr
Method: DFT, GGA-PBEsol
State: relaxed

Energy of formation   0.887 eV per atom

a = 6.911 Å, b = 6.911 Å, c = 6.911 Å
α = 60.00°, β = 60.00°, γ = 60.00°
Sites, in units of the cell vectors:
K  0.371  0.887  0.371
K  0.371  0.371  0.371
K  0.371  0.371  0.887
K  0.887  0.371  0.371
Ir  0.000  0.000  0.000
Ba  0.750  0.750  0.750

(2)
Material: Ba2LaIr
Method: DFT, GGA-PBEsol
State: relaxed

Energy of formation   -0.125 eV per atom
Distance to the lowest polymorph of the same formula   90.3 meV/atom

a = 4.425 Å, b = 5.486 Å, c = 7.741 Å
α = 110.76°, β = 90.00°, γ = 90.00°
Sites, in units of the cell vectors:
Ir  0.500  0.000  0.500
Ba  0.000  0.147  0.793
Ba  0.000  0.853  0.207
La  0.500  0.500  0.500

(3)
Material: Ba2LaIr
Method: DFT, GGA-PBEsol
State: relaxed

Energy of formation   0.421 eV per atom
Distance to the lowest polymorph of the same formula   636.0 meV/atom

a = 5.453 Å, b = 5.453 Å, c = 5.453 Å
α = 60.00°, β = 60.00°, γ = 60.00°
Sites, in units of the cell vectors:
Ba  0.750  0.750  0.750
Ba  0.250  0.250  0.250
Ir  0.000  0.000  0.000
La  0.500  0.500  0.500

(4)
Material: Ba2LaIr
Method: DFT, GGA-PBEsol
State: relaxed

Energy of formation   -0.215 eV per atom
Distance to the lowest polymorph of the same formula   0.0 meV/atom

a = 4.291 Å, b = 4.294 Å, c = 10.773 Å
α = 101.33°, β = 90.00°, γ = 119.98°
Sites, in units of the cell vectors:
Ir  0.491  0.982  0.474
Ba  0.007  0.015  0.019
Ba  0.217  0.434  0.654
La  0.785  0.569  0.353

(5)
Material: Ba2LaIrO6
Method: DFT, GGA-PBEsol
State: relaxed

Formation energy without anion corrections   -23.165 eV per formula unit

a = 6.042 Å, b = 6.042 Å, c = 6.042 Å
α = 60.00°, β = 60.00°, γ = 60.00°
Last column: magnetic moment on the atom in μB.
Sites, in units of the cell vectors:
O  0.271  0.271  0.729  0.10
O  0.729  0.271  0.271  0.10
O  0.729  0.271  0.729  0.10
O  0.271  0.729  0.271  0.10
O  0.729  0.729  0.271  0.10
O  0.271  0.729  0.729  0.10
Ba  0.250  0.250  0.250  0.01
Ba  0.750  0.750  0.750  0.01
La  0.000  0.000  0.000  0.00
Ir  0.500  0.500  0.500  1.15

(6)
Material: Ba3LaIrRuO9
Method: DFT, GGA-PBEsol
State: relaxed

Formation energy without anion corrections   -32.455 eV per formula unit

a = 5.919 Å, b = 5.919 Å, c = 14.976 Å
α = 90.00°, β = 90.00°, γ = 120.00°
Last column: magnetic moment on the atom in μB.
Sites, in units of the cell vectors:
Ba  0.000  0.000  0.250  0.01
Ba  0.333  0.667  0.603  0.01
Ba  0.667  0.333  0.103  0.01
Ba  0.333  0.667  0.893  0.00
Ba  0.667  0.333  0.393  0.00
Ba  0.000  0.000  0.750  0.01
Ru  0.667  0.333  0.667  1.02
Ru  0.333  0.667  0.167  1.02
O  0.984  0.492  0.749  0.04
O  0.178  0.357  0.407  -0.01
O  0.016  0.508  0.249  0.04
O  0.508  0.492  0.749  0.04
O  0.821  0.642  0.595  0.09
O  0.642  0.821  0.095  0.09
O  0.178  0.822  0.407  -0.01
O  0.358  0.179  0.595  0.09
O  0.821  0.179  0.595  0.09
O  0.508  0.016  0.749  0.04
O  0.179  0.821  0.095  0.09
O  0.643  0.822  0.407  -0.01
O  0.179  0.358  0.095  0.09
O  0.357  0.178  0.907  -0.01
O  0.492  0.984  0.249  0.04
O  0.822  0.643  0.907  -0.01
O  0.822  0.178  0.907  -0.01
O  0.492  0.508  0.249  0.04
Ir  0.333  0.667  0.332  -0.11
Ir  0.667  0.333  0.832  -0.11
La  0.000  0.000  0.499  0.00
La  0.000  0.000  0.999  0.00